Computed, not measured: a crystal of Nb3HgIr relaxed with PBEsol at the SCAN level of DFT.

```
5
Lattice="4.819 0.000 0.000 0.000 4.819 0.000 0.000 0.000 4.819" Properties=species:S:1:pos:R:3 pbc="T T T"
Nb 0.000 2.410 0.000
Nb 0.000 0.000 2.410
Nb 2.410 0.000 0.000
Ir 0.000 0.000 0.000
Hg 2.410 2.410 2.410
```

Output
* total energy: -234.89 eV per cell
* N(E_F): 5.06 states/eV/cell
* ΔH_f (0 K): 753 meV/atom
* size of the total moment: 0.0 μB/f.u.